# 1
CsZr2Pb: optimized geometry, PBE-GGA.

Symmetry: I-42d (122)

Cell: 8.791 8.791 7.069 Å, 51.55 51.55 90.00°
Site moments in Bohr magnetons follow the coordinates.
Sites, in units of the cell vectors:
Pb 0.000 0.000 0.000  0.01
Pb 0.750 0.250 0.500  0.00
Cs 0.500 0.500 0.000  0.05
Cs 0.250 0.750 0.500  0.05
Zr 0.667 0.125 0.250  0.57
Zr 0.083 0.625 0.250  0.59
Zr 0.375 0.333 0.750  0.52
Zr 0.875 0.917 0.750  0.54


# 2
TbHf2Th: optimized geometry, PBE-GGA.

Symmetry: P4/mmm (123)

Cell: 3.937 3.937 6.974 Å, 90.00 90.00 90.00°
Sites, in units of the cell vectors:
Tb 0.500 0.500 0.500
Hf 0.000 0.000 0.780
Hf 0.000 0.000 0.220
Th 0.500 0.500 0.000


# 3
Cr2Rh: optimized geometry, PBE-GGA.

Symmetry: I4_1/amd (141)

Cell: 3.684 3.684 11.446 Å, 99.26 99.26 90.00°
Sites, in units of the cell vectors:
Cr 0.252 0.252 0.503
Cr 0.748 0.748 0.497
Cr 0.502 0.002 0.003
Cr 0.998 0.498 0.997
Cr 0.421 0.421 0.841
Cr 0.579 0.579 0.159
Cr 0.671 0.171 0.341
Cr 0.829 0.329 0.659
Rh 0.083 0.083 0.165
Rh 0.917 0.917 0.835
Rh 0.333 0.833 0.665
Rh 0.167 0.667 0.335


Number 1: ρ 6.67 g/cm³, formation enthalpy at 0 K 1.064 eV/atom, D(E_F) 1.54 states/eV per atom. Number 2: ρ 11.49 g/cm³, formation enthalpy at 0 K 0.192 eV/atom, D(E_F) 1.18 states/eV per atom. Number 3: ρ 9.08 g/cm³, formation enthalpy at 0 K 0.083 eV/atom, D(E_F) 1.27 states/eV per atom.